# 1
GdHo2Al3CoCu2: optimized geometry, PBE.

## Properties
* raw total energy: -4.846 eV/atom

a b c (Å): 4.047 6.921 6.921
angles (deg): 119.81 90.00 90.00
Element x y z (fractional)
Gd1 0.000 0.589 0.589
Al1 0.500 0.773 0.001
Al2 0.500 0.228 0.228
Al3 0.500 0.001 0.773
Ho1 0.000 0.000 0.409
Ho2 0.000 0.409 0.000
Cu1 0.500 0.668 0.330
Cu2 0.500 0.330 0.668
Co1 0.000 0.003 0.003

# 2
KHoErC: optimized geometry, PBE.

## Properties
* raw total energy: -4.927 eV/atom

a b c (Å): 3.599 3.599 20.524
angles (deg): 90.00 90.00 120.00
Element x y z (fractional)
C1 0.000 0.000 0.253
C2 0.000 0.000 0.747
Ho1 0.667 0.333 0.812
Ho2 0.667 0.333 0.188
K1 0.667 0.333 0.500
K2 0.333 0.667 0.000
Er1 0.333 0.667 0.317
Er2 0.333 0.667 0.683

# 3
GdTmAg4: optimized geometry, PBE.

## Properties
* energy of formation: -0.33 eV/atom

a b c (Å): 3.711 3.711 9.232
angles (deg): 90.00 90.00 90.00
Element x y z (fractional)
Gd1 0.000 0.000 0.000
Tm1 0.500 0.500 0.500
Ag1 0.500 0.500 0.175
Ag2 0.500 0.500 0.825
Ag3 0.000 0.000 0.335
Ag4 0.000 0.000 0.665

# 4
InB2Mo: optimized geometry, PBE.

## Properties
* raw total energy: -4.897 eV/atom

a b c (Å): 4.246 4.246 4.246
angles (deg): 60.00 60.00 60.00
Element x y z (fractional)
B1 0.000 0.000 0.000
B2 0.750 0.750 0.750
Mo1 0.250 0.250 0.250
In1 0.500 0.500 0.500

# 5
NbAgTeO: optimized geometry, PBE.

## Properties
* raw total energy: -6.003 eV/atom

a b c (Å): 3.650 3.650 11.534
angles (deg): 90.00 90.00 90.00
Each line ends with the local moment (μB).
Element x y z (fractional)
Te1 0.000 0.000 0.240  -0.05
Te2 0.500 0.500 0.760  -0.05
Ag1 0.500 0.000 0.500  -0.01
Ag2 0.000 0.500 0.500  -0.01
O1 0.000 0.500 0.000  0.00
O2 0.500 0.000 0.000  0.00
Nb1 0.000 0.000 0.899  0.79
Nb2 0.500 0.500 0.101  0.79

# 6
LaBeAsOs: optimized geometry, PBE.

## Properties
* raw total energy: -5.722 eV/atom

a b c (Å): 4.724 4.724 4.724
angles (deg): 60.00 60.00 60.00
Element x y z (fractional)
Be1 0.750 0.750 0.750
Os1 0.000 0.000 0.000
La1 0.250 0.250 0.250
As1 0.500 0.500 0.500

# 7
TmSiAsO: optimized geometry, PBE.

## Properties
* raw total energy: -5.713 eV/atom

a b c (Å): 5.461 5.461 4.749
angles (deg): 90.00 90.00 90.00
Element x y z (fractional)
As1 0.750 0.750 0.508
As2 0.250 0.250 0.492
O1 0.750 0.250 0.000
O2 0.250 0.750 0.000
Tm1 0.250 0.750 0.500
Tm2 0.750 0.250 0.500
Si1 0.750 0.750 0.007
Si2 0.250 0.250 0.993

# 8
Gd2DyCd3Pt2Au: optimized geometry, PBE.

## Properties
* energy of formation: -0.82 eV/atom

a b c (Å): 3.930 7.668 7.668
angles (deg): 119.94 90.00 90.00
Element x y z (fractional)
Au1 0.000 0.001 0.001
Cd1 0.500 0.261 0.000
Cd2 0.500 0.000 0.261
Cd3 0.500 0.738 0.738
Dy1 0.000 0.410 0.410
Gd1 0.000 0.000 0.590
Gd2 0.000 0.590 0.000
Pt1 0.500 0.665 0.334
Pt2 0.500 0.334 0.665

# 9
HfTaCuSb: optimized geometry, PBE.

## Properties
* raw total energy: -7.062 eV/atom

a b c (Å): 4.724 4.724 4.724
angles (deg): 60.00 60.00 60.00
Element x y z (fractional)
Ta1 0.250 0.250 0.250
Cu1 0.750 0.750 0.750
Hf1 0.500 0.500 0.500
Sb1 0.000 0.000 0.000

# 10
NdErAg: optimized geometry, PBE.

## Properties
* energy of formation: 0.56 eV/atom

a b c (Å): 4.985 4.985 4.985
angles (deg): 60.00 60.00 60.00
Element x y z (fractional)
Nd1 0.000 0.000 0.000
Er1 0.750 0.750 0.750
Ag1 0.250 0.250 0.250

# 11
Na2Ir2Se3S: optimized geometry, PBE.

## Properties
* raw total energy: -4.744 eV/atom

a b c (Å): 6.200 6.200 6.921
angles (deg): 123.23 123.23 71.49
Element x y z (fractional)
Ir1 0.126 0.361 0.133
Ir2 0.639 0.874 0.867
S1 0.034 0.966 0.000
Na1 0.122 0.395 0.645
Na2 0.605 0.878 0.355
Se1 0.545 0.284 0.166
Se2 0.716 0.455 0.834
Se3 0.213 0.787 0.500

# 12
NdMgGa: optimized geometry, PBE.

## Properties
* raw total energy: -3.605 eV/atom

a b c (Å): 7.458 7.458 4.540
angles (deg): 90.00 90.00 120.00
Element x y z (fractional)
Nd1 0.424 0.424 0.500
Nd2 0.000 0.576 0.500
Nd3 0.576 0.000 0.500
Mg1 0.758 0.758 0.000
Mg2 0.242 0.000 0.000
Mg3 0.000 0.242 0.000
Ga1 0.667 0.333 0.000
Ga2 0.000 0.000 0.500
Ga3 0.333 0.667 0.000